Record 1
This record from the Alexandria database describes a PBEsol-optimized structure of CuAg2Ir. The functional is meta-GGA SCAN.

The structure in POSCAR format:
```
CuAg2Ir
1.0
2.633 0.000 0.000
0.000 4.185 0.000
-1.318 0.000 5.366
Cu Ag Ir
1 2 1
direct
0.000 0.000 0.000
0.229 0.000 0.474
0.849 0.500 0.716
0.588 0.500 0.184
```

Results
E above lowest polymorph in meV/atom: 0
Energy of formation from the pure elements in eV/atom: 0.32
Final energy in eV per atom: -36.94

---

Record 2
This record from the Alexandria database describes a PBEsol-optimized structure of Sc2TiAgSn. The functional is meta-GGA SCAN.

The structure in POSCAR format:
```
Sc2TiAgSn
1.0
5.003 0.000 0.000
0.000 5.003 0.000
0.000 0.000 4.842
Sc Ti Ag Sn
2 1 1 1
direct
0.000 0.500 0.000
0.500 0.000 0.000
0.000 0.000 0.500
0.000 0.000 0.000
0.500 0.500 0.500
```

Results
Energy of formation from the pure elements in eV/atom: 0.24
Final energy in eV per atom: -22.12

---

Record 3
This record from the Alexandria database describes a PBEsol-optimized structure of Tc2MoPt. The functional is meta-GGA SCAN.

The structure in POSCAR format:
```
Tc2MoPt
1.0
3.868 0.000 0.000
0.000 3.868 0.000
0.000 0.000 3.845
Tc Mo Pt
2 1 1
direct
0.000 0.500 0.000
0.500 0.000 0.000
0.000 0.000 0.500
0.500 0.500 0.500
```

Results
E above lowest polymorph in meV/atom: 0
Energy of formation from the pure elements in eV/atom: -0.24
Final energy in eV per atom: -44.04